No. 1
{
  "formula": "Sm7Dy2Er3",
  "functional": "GGA-PBE",
  "state": "optimized geometry",
  "cell": [[3.598, 0.000, 0.000], [0.000, 5.868, 0.000], [0.000, -2.934, 18.934]],
  "species": ["Sm", "Sm", "Sm", "Sm", "Sm", "Sm", "Sm", "Dy", "Dy", "Er", "Er", "Er"],
  "fractional_positions": [[0.000, 0.427, 0.854], [0.000, 0.731, 0.461], [0.000, 0.000, 0.000], [0.000, 0.573, 0.146], [0.500, 0.092, 0.184], [0.500, 0.908, 0.816], [0.000, 0.269, 0.539], [0.000, 0.823, 0.646], [0.000, 0.177, 0.354], [0.500, 0.500, 0.000], [0.500, 0.651, 0.302], [0.500, 0.349, 0.698]],
  "formation_energy_ev_per_atom": 0.151,
  "sg": "Cmmm",
  "n_ef_per_ev_atom": 1.82,
  "total_magnetization_mub_per_fu": 0.03
}

No. 2
{
  "formula": "Tl2CoIr",
  "functional": "GGA-PBE",
  "state": "optimized geometry",
  "cell": [[-0.965, 0.113, -2.915], [-2.238, -2.012, 0.663], [-5.276, 6.529, 2.000]],
  "species": ["Co", "Ir", "Tl", "Tl"],
  "fractional_positions": [[0.000, 0.000, 0.550], [0.500, 0.500, 0.694], [0.000, 0.000, 0.949], [0.500, 0.500, 0.307]],
  "formation_energy_ev_per_atom": 0.412,
  "sg": "P4mm",
  "n_ef_per_ev_atom": 1.03,
  "total_magnetization_mub_per_fu": 2.40
}

No. 3
{
  "formula": "PmSb4Pd6",
  "functional": "GGA-PBE",
  "state": "optimized geometry",
  "cell": [[4.239, 0.000, 0.000], [0.000, 7.736, 0.000], [0.000, -3.868, 6.699]],
  "species": ["Pm", "Sb", "Sb", "Sb", "Sb", "Pd", "Pd", "Pd", "Pd", "Pd", "Pd"],
  "fractional_positions": [[0.000, 0.000, 0.000], [0.500, 0.812, 0.623], [0.500, 0.377, 0.188], [0.500, 0.812, 0.188], [0.000, 0.333, 0.667], [0.000, 0.538, 0.077], [0.500, 0.595, 0.798], [0.000, 0.538, 0.462], [0.000, 0.923, 0.462], [0.500, 0.202, 0.798], [0.500, 0.202, 0.405]],
  "formation_energy_uncorrected_ev_per_atom": -0.585,
  "sg": "P-6m2",
  "n_ef_per_ev_atom": 0.37,
  "total_magnetization_mub_per_fu": 0.00
}

No. 4
{
  "formula": "Si2HgMo",
  "functional": "GGA-PBE",
  "state": "optimized geometry",
  "cell": [[-3.065, -2.215, -2.136], [-1.553, -1.489, 3.773], [-2.069, 2.669, 0.201]],
  "species": ["Hg", "Mo", "Si", "Si"],
  "fractional_positions": [[0.500, 0.000, 0.500], [0.000, 0.500, 0.500], [0.000, 0.000, 0.000], [0.500, 0.500, 0.000]],
  "formation_energy_uncorrected_ev_per_atom": 0.464,
  "sg": "P4/mmm",
  "n_ef_per_ev_atom": 0.72,
  "total_magnetization_mub_per_fu": 0.00
}

No. 5
{
  "formula": "Sc3PC",
  "functional": "GGA-PBE",
  "state": "optimized geometry",
  "cell": [[-2.500, 3.581, -0.481], [-2.154, -1.946, -3.298], [-2.901, -1.641, 2.863]],
  "species": ["Sc", "Sc", "Sc", "P", "C"],
  "fractional_positions": [[0.000, 0.500, 0.000], [0.000, 0.000, 0.500], [0.500, 0.000, 0.000], [0.500, 0.500, 0.500], [0.000, 0.000, 0.000]],
  "formation_energy_ev_per_atom": -0.707,
  "sg": "Pm-3m",
  "n_ef_per_ev_atom": 0.64,
  "total_magnetization_mub_per_fu": 0.00
}

Copy entry 1 word for word.
{
  "formula": "Sm7Dy2Er3",
  "functional": "GGA-PBE",
  "state": "optimized geometry",
  "cell": [[3.598, 0.000, 0.000], [0.000, 5.868, 0.000], [0.000, -2.934, 18.934]],
  "species": ["Sm", "Sm", "Sm", "Sm", "Sm", "Sm", "Sm", "Dy", "Dy", "Er", "Er", "Er"],
  "fractional_positions": [[0.000, 0.427, 0.854], [0.000, 0.731, 0.461], [0.000, 0.000, 0.000], [0.000, 0.573, 0.146], [0.500, 0.092, 0.184], [0.500, 0.908, 0.816], [0.000, 0.269, 0.539], [0.000, 0.823, 0.646], [0.000, 0.177, 0.354], [0.500, 0.500, 0.000], [0.500, 0.651, 0.302], [0.500, 0.349, 0.698]],
  "formation_energy_ev_per_atom": 0.151,
  "sg": "Cmmm",
  "n_ef_per_ev_atom": 1.82,
  "total_magnetization_mub_per_fu": 0.03
}

What did the first record say?
{
  "formula": "Sm7Dy2Er3",
  "functional": "GGA-PBE",
  "state": "optimized geometry",
  "cell": [[3.598, 0.000, 0.000], [0.000, 5.868, 0.000], [0.000, -2.934, 18.934]],
  "species": ["Sm", "Sm", "Sm", "Sm", "Sm", "Sm", "Sm", "Dy", "Dy", "Er", "Er", "Er"],
  "fractional_positions": [[0.000, 0.427, 0.854], [0.000, 0.731, 0.461], [0.000, 0.000, 0.000], [0.000, 0.573, 0.146], [0.500, 0.092, 0.184], [0.500, 0.908, 0.816], [0.000, 0.269, 0.539], [0.000, 0.823, 0.646], [0.000, 0.177, 0.354], [0.500, 0.500, 0.000], [0.500, 0.651, 0.302], [0.500, 0.349, 0.698]],
  "formation_energy_ev_per_atom": 0.151,
  "sg": "Cmmm",
  "n_ef_per_ev_atom": 1.82,
  "total_magnetization_mub_per_fu": 0.03
}

Question: Which formula does entry 2 have?
Answer: Tl2CoIr